1.
BeCdHg: optimized geometry, GGA-PBE.

```
BeCdHg
1.0
-2.307 3.650 -0.602
-2.050 -3.803 0.586
-0.031 0.534 3.356
Hg Cd Be
1 1 1
Cartesian
-2.248 1.611 2.591
-2.146 -1.141 1.309
-0.026 0.445 2.795
```

Properties
Distance to the lowest polymorph of the same formula (eV per formula unit): 0.286
Space-group type: P-6m2 (187)
E_form (eV/f.u.): 1.19



2.
Be2CdHg: optimized geometry, GGA-PBE.

```
Be2CdHg
1.0
2.753 0.000 0.000
0.000 5.971 0.000
0.000 0.000 4.234
Cd Hg Be
1 1 2
Cartesian
1.376 0.000 2.117
0.000 2.986 2.117
0.000 0.000 0.000
1.376 2.986 0.000
```

Properties
Distance to the lowest polymorph of the same formula (eV per formula unit): 0.845
Space-group type: Pmmm (47)
E_form (eV/f.u.): 2.20



3.
Be2CdHg: optimized geometry, GGA-PBE.

```
Be2CdHg
1.0
6.240 0.005 -0.008
4.238 4.581 0.008
-4.853 -3.176 2.304
Cd Be Hg
1 2 1
Cartesian
5.457 2.389 0.000
9.917 4.341 0.000
3.753 -0.246 1.148
2.215 1.807 1.156
```

Properties
Distance to the lowest polymorph of the same formula (eV per formula unit): 0.359
Space-group type: Imm2 (44)
E_form (eV/f.u.): 1.72



4.
Be2Cd2Hg: optimized geometry, GGA-PBE.

```
Be2Cd2Hg
1.0
-1.942 1.853 -5.863
2.265 -5.501 -2.489
-3.607 -1.772 0.634
Cd Hg Be
4 2 4
Cartesian
-2.086 -1.163 -2.062
-0.618 -4.233 -2.294
-2.666 -1.186 -5.424
-1.198 -4.257 -5.655
0.162 -1.824 -4.176
0.000 0.000 0.000
-0.289 -1.806 -6.690
0.612 -1.841 -1.662
1.254 -4.123 -4.387
-0.931 0.476 -3.964
```

Properties
Space-group type: P4/mbm (127)
E_form (eV/f.u.): 1.76



5.
Be2CdHg: optimized geometry, GGA-PBE.

```
Be2CdHg
1.0
2.740 0.000 0.000
0.000 3.051 0.000
0.000 0.000 7.741
Hg Cd Be
1 1 2
Cartesian
1.370 1.526 6.222
0.000 0.000 3.386
1.370 1.526 1.466
0.000 0.000 0.537
```

Properties
Distance to the lowest polymorph of the same formula (eV per formula unit): 0.286
Space-group type: Pmm2 (25)
E_form (eV/f.u.): 1.64



6.
Be2CdHg: optimized geometry, GGA-PBE.

```
Be2CdHg
1.0
4.266 0.000 0.000
0.000 4.266 0.000
0.000 0.000 3.338
Be Hg Cd
2 1 1
Cartesian
2.133 2.133 0.000
0.000 0.000 0.000
0.000 2.133 1.669
2.133 0.000 1.669
```

Properties
Distance to the lowest polymorph of the same formula (eV per formula unit): 0.805
Space-group type: P4/mmm (123)
E_form (eV/f.u.): 2.16



7.
BeCdHg: optimized geometry, GGA-PBE.

```
BeCdHg
1.0
6.979 0.037 -0.026
5.958 2.987 -0.101
1.021 -1.027 2.766
Cd Hg Be
1 1 1
Cartesian
5.194 0.391 1.753
8.733 1.595 0.893
1.051 -1.017 2.759
```

Properties
Distance to the lowest polymorph of the same formula (eV per formula unit): 0.470
Space-group type: Fmm2 (42)
E_form (eV/f.u.): 1.38



8.
Be2CdHg: optimized geometry, GGA-PBE.

```
Be2CdHg
1.0
0.000 3.117 3.117
3.117 0.000 3.117
3.117 3.117 0.000
Hg Be Cd
1 2 1
Cartesian
3.117 3.117 3.117
1.559 1.559 1.559
4.676 4.676 4.676
0.000 0.000 0.000
```

Properties
Distance to the lowest polymorph of the same formula (eV per formula unit): 0.825
Space-group type: Fm-3m (225)
E_form (eV/f.u.): 2.18



9.
Be2CdHg: optimized geometry, GGA-PBE.

```
Be2CdHg
1.0
5.078 0.005 0.013
-2.806 4.526 -0.033
-0.534 1.121 2.956
Be Hg Cd
2 1 1
Cartesian
0.000 0.000 0.000
2.272 0.563 1.484
1.136 2.265 -0.010
-1.670 2.823 1.461
```

Properties
Distance to the lowest polymorph of the same formula (eV per formula unit): 0.815
Space-group type: C2/m (12)
E_form (eV/f.u.): 2.17



10.
Be2CdHg: optimized geometry, GGA-PBE.

```
Be2CdHg
1.0
-1.045 -1.355 3.594
0.696 -3.184 -0.998
4.623 -0.590 1.122
Be Hg Cd
2 1 1
Cartesian
4.731 -1.176 0.932
0.686 -1.026 2.017
3.818 -3.513 1.990
2.322 -1.891 -0.038
```

Properties
Distance to the lowest polymorph of the same formula (eV per formula unit): 0.420
Space-group type: Pm (6)
E_form (eV/f.u.): 1.78



11.
Be2CdHg: optimized geometry, GGA-PBE.

```
Be2CdHg
1.0
-5.873 -2.100 -2.237
3.067 -4.158 -4.148
-1.447 -5.443 -0.905
Hg Be Cd
2 4 2
Cartesian
-4.361 -5.336 -3.167
0.000 0.000 0.000
-2.174 -6.380 -3.024
-3.719 -3.218 -2.170
0.891 -4.197 -3.072
-3.503 -9.608 -6.315
-1.403 -3.129 -3.193
0.109 -6.365 -4.123
```

Properties
Distance to the lowest polymorph of the same formula (eV per formula unit): 1.558
Space-group type: I-42d (122)
E_form (eV/f.u.): 2.92



12.
BeCd2HgIr: optimized geometry, GGA-PBE.

```
BeCd2HgIr
1.0
-0.400 -4.311 -1.865
4.143 -0.106 -0.644
0.614 -1.904 4.268
Be Ir Hg Cd
1 1 1 2
Cartesian
0.000 0.000 0.000
2.072 -0.053 -0.322
2.179 -3.160 0.880
-0.200 -2.155 -0.933
0.307 -0.952 2.134
```

Properties
Space-group type: P4/mmm (123)
E_form (eV/f.u.): 1.90



- E_form of number 9 (Be2CdHg)?
  2.17 eV/f.u.